# LiSbIr2

A relaxed structure of LiSbIr2 (GGA-PBE, Alexandria).

Total energy in eV per atom: -5.572
Formation energy without anion corrections in eV/atom: 0.37

POSCAR file:
```
LiSbIr2
1.0
-0.6425 -0.9009 -2.6470
0.7190 -1.9712 1.9567
-8.7588 -0.8107 2.4018
Ir Li Sb
2 1 1
Direct
0.0000 0.0000 0.0121
0.0000 0.0000 0.4879
0.5000 0.5000 0.2500
0.5000 0.5000 0.7500
```

***

# LiSb3Ir

A relaxed structure of LiSb3Ir (GGA-PBE, Alexandria).

Total energy in eV per atom: -4.289
Polymorph energy (0 for the lowest one) in eV per atom: 0.000
Formation energy without anion corrections in eV/atom: 0.34

POSCAR file:
```
LiSb3Ir
1.0
-2.9830 -0.9407 4.2402
0.3265 -5.1780 -0.9191
4.3310 -0.2576 2.9898
Sb Li Ir
3 1 1
Direct
0.0000 0.5000 0.0000
0.5000 0.0000 0.0000
0.0000 0.0000 0.5000
0.5000 0.5000 0.5000
0.0000 0.0000 0.0000
```

***

# LiSbIr4

A relaxed structure of LiSbIr4 (GGA-PBE, Alexandria).

Total energy in eV per atom: -6.717
Formation energy without anion corrections in eV/atom: 0.20

POSCAR file:
```
LiSbIr4
1.0
0.0000 3.7212 3.7212
3.7212 0.0000 3.7212
3.7212 3.7212 0.0000
Ir Sb Li
4 1 1
Direct
0.3752 0.3752 0.8743
0.3752 0.3752 0.3752
0.3752 0.8743 0.3752
0.8743 0.3752 0.3752
0.0000 0.0000 0.0000
0.7500 0.7500 0.7500
```

***

# LiSb2Ir

A relaxed structure of LiSb2Ir (GGA-PBE, Alexandria).

Total energy in eV per atom: -4.950
Polymorph energy (0 for the lowest one) in eV per atom: 0.024
Formation energy without anion corrections in eV/atom: -0.20

POSCAR file:
```
LiSb2Ir
1.0
-1.0411 3.7201 6.2640
-4.5950 2.9819 4.9149
-2.6560 0.2512 6.8588
Sb Li Ir
2 1 1
Direct
0.9869 0.9869 0.9869
0.5131 0.5131 0.5131
0.7500 0.7500 0.7500
0.2500 0.2500 0.2500
```

***

# Li2SbIr

A relaxed structure of Li2SbIr (GGA-PBE, Alexandria).

Total energy in eV per atom: -4.146
Formation energy without anion corrections in eV/atom: 0.06

POSCAR file:
```
Li2SbIr
1.0
7.7768 0.0000 0.0000
0.0000 7.7768 0.0000
3.8884 3.8884 2.5202
Li Ir Sb
4 2 2
Direct
0.6768 0.1250 0.2500
0.8750 0.9268 0.7500
0.3750 0.3232 0.7500
0.0732 0.6250 0.2500
0.7500 0.2500 0.5000
0.0000 0.0000 0.0000
0.5000 0.5000 0.0000
0.2500 0.7500 0.5000
```

***

# Li2SbIr

A relaxed structure of Li2SbIr (GGA-PBE, Alexandria).

Total energy in eV per atom: -4.157
Formation energy without anion corrections in eV/atom: 0.05

POSCAR file:
```
Li2SbIr
1.0
-7.9413 -4.5846 1.4198
-5.9061 -6.7378 2.4122
-6.8623 -4.4812 4.3505
Sb Li Ir
1 2 1
Direct
0.4907 0.4907 0.4907
0.0102 0.0102 0.0102
0.2473 0.2473 0.2473
0.7518 0.7518 0.7518
```

***

# LiSb2Ir

A relaxed structure of LiSb2Ir (GGA-PBE, Alexandria).

Total energy in eV per atom: -4.974
Polymorph energy (0 for the lowest one) in eV per atom: 0.000
Formation energy without anion corrections in eV/atom: -0.22

POSCAR file:
```
LiSb2Ir
1.0
-3.2576 -2.9648 -0.0004
-1.9513 -1.8676 -3.4795
2.8902 -4.9846 -0.4869
Li Sb Ir
1 2 1
Direct
0.2500 0.2500 0.2500
0.0232 0.0232 0.9575
0.4768 0.4768 0.5425
0.7500 0.7500 0.7500
```

***

# LiSbIr2

A relaxed structure of LiSbIr2 (GGA-PBE, Alexandria).

Total energy in eV per atom: -5.590
Formation energy without anion corrections in eV/atom: 0.35

POSCAR file:
```
LiSbIr2
1.0
7.4326 0.0000 0.0000
0.0000 7.4326 0.0000
3.7163 3.7163 2.6606
Sb Ir Li
2 4 2
Direct
0.0000 0.0000 0.0000
0.7500 0.2500 0.5000
0.3750 0.3396 0.7500
0.6604 0.1250 0.2500
0.8750 0.9104 0.7500
0.0896 0.6250 0.2500
0.5000 0.5000 0.0000
0.2500 0.7500 0.5000
```

***

- Among the records above, which one has the lowest total energy?
  LiSbIr4